VASP calculation (PBEsol) on a geometry-optimized Zr2FeRuSe structure.

abc: 4.9007 4.9007 4.1002
angles: 90.00 90.00 90.00
With the nearest neighbours (Å) after each atom.
Fractional positions:
Zr1 0.0000 0.5000 0.0000  2 Se 2.45
Zr2 0.5000 0.0000 0.0000  2 Se 2.45
Fe1 0.0000 0.0000 0.5000  2 Se 2.05
Ru1 0.5000 0.5000 0.5000  8 Zr 3.19, 4 Fe 3.47
Se1 0.0000 0.0000 0.0000  2 Fe 2.05

- V (Å³/atom) = 19.69
- uncorrected formation energy (kJ/mol of atoms) = 42.3
- symmetry = P4/mmm


VASP calculation (PBEsol) on a geometry-optimized Cr2GaC structure.

abc: 3.8827 3.8827 3.8827
angles: 60.00 60.00 60.00
With the nearest neighbours (Å) after each atom.
Fractional positions:
Cr1 0.2500 0.2500 0.2500  4 C 2.38, 4 Ga 2.38
Cr2 0.7500 0.7500 0.7500  4 C 2.38, 4 Ga 2.38
Ga1 0.0000 0.0000 0.0000  8 Cr 2.38
C1 0.5000 0.5000 0.5000  8 Cr 2.38

- V (Å³/atom) = 10.35
- E above lowest polymorph (eV/atom) = 1.1730
- symmetry = Fm-3m
- ΔE_f (eV per atom) = 0.966


VASP calculation (PBEsol) on a geometry-optimized Cu2Si2Au structure.

abc: 6.3495 6.3495 6.3495
angles: 148.31 148.31 45.43
With the nearest neighbours (Å) after each atom.
Fractional positions:
Cu1 0.1046 0.1046 0.0000  4 Si 2.43, 1 Cu 2.45
Cu2 0.8954 0.8954 0.0000  4 Si 2.43, 1 Cu 2.45
Si1 0.2500 0.7500 0.5000  4 Cu 2.43, 4 Si 2.45
Si2 0.7500 0.2500 0.5000  4 Cu 2.43, 4 Si 2.45
Au1 0.5000 0.5000 0.0000  8 Cu 2.74

- V (Å³/atom) = 14.08
- uncorrected formation energy (kJ/mol of atoms) = 9.7
- symmetry = I4/mmm


VASP calculation (PBEsol) on a geometry-optimized MnIrC2 structure.

abc: 3.6471 3.6471 3.6471
angles: 60.00 60.00 60.00
With the nearest neighbours (Å) after each atom.
Fractional positions:
Mn1 0.0000 0.0000 0.0000  8 C 2.23
Ir1 0.5000 0.5000 0.5000  8 C 2.23
C1 0.2500 0.2500 0.2500  4 Ir 2.23, 4 Mn 2.23
C2 0.7500 0.7500 0.7500  4 Mn 2.23, 4 Ir 2.23

- V (Å³/atom) = 8.58
- symmetry = Fm-3m
- ΔE_f (eV per atom) = 1.073


VASP calculation (PBEsol) on a geometry-optimized YTaNi6 structure.

abc: 6.4025 6.4025 10.5011
angles: 90.00 90.00 109.37
With the nearest neighbours (Å) after each atom.
Fractional positions:
Y1 0.0000 0.0000 0.2481  12 Ni 2.61-2.70
Y2 0.0000 0.0000 0.7519  12 Ni 2.61-2.70
Y3 0.2470 0.7530 0.5000  12 Ni 2.58-2.74
Y4 0.7530 0.2470 0.5000  12 Ni 2.58-2.74
Ta1 0.2476 0.7524 0.0000  12 Ni 2.52-2.64
Ta2 0.5000 0.5000 0.2506  12 Ni 2.51-2.63
Ta3 0.5000 0.5000 0.7494  12 Ni 2.51-2.63
Ta4 0.7524 0.2476 0.0000  12 Ni 2.52-2.64
Ni1 0.0000 0.0000 0.0000  2 Ta 2.59, 2 Y 2.61, 8 Ni 2.64
Ni2 0.0000 0.0000 0.5000  4 Y 2.58-2.64, 8 Ni 2.70
Ni3 0.1306 0.3854 0.1183  8 Ni 2.48-2.66, 3 Ta 2.54-2.63, 1 Y 2.70
Ni4 0.1306 0.3854 0.8817  8 Ni 2.48-2.66, 3 Ta 2.54-2.63, 1 Y 2.70
Ni5 0.1368 0.3828 0.3675  1 Ta 2.51, 8 Ni 2.56-2.78, 3 Y 2.63-2.70
Ni6 0.1368 0.3828 0.6325  1 Ta 2.51, 8 Ni 2.56-2.78, 3 Y 2.63-2.70
Ni7 0.2561 0.7439 0.2395  8 Ni 2.51-2.73, 2 Ta 2.52-2.55, 2 Y 2.68-2.74
Ni8 0.2561 0.7439 0.7605  8 Ni 2.51-2.73, 2 Ta 2.52-2.55, 2 Y 2.68-2.74
Ni9 0.3828 0.1368 0.3675  1 Ta 2.51, 8 Ni 2.56-2.78, 3 Y 2.63-2.70
Ni10 0.3828 0.1368 0.6325  1 Ta 2.51, 8 Ni 2.56-2.78, 3 Y 2.63-2.70
Ni11 0.3854 0.1306 0.1183  8 Ni 2.48-2.66, 3 Ta 2.54-2.63, 1 Y 2.70
Ni12 0.3854 0.1306 0.8817  8 Ni 2.48-2.66, 3 Ta 2.54-2.63, 1 Y 2.70
Ni13 0.5000 0.5000 0.0000  8 Ni 2.55, 4 Ta 2.63-2.64
Ni14 0.5000 0.5000 0.5000  8 Ni 2.60, 2 Ta 2.62, 2 Y 2.64
Ni15 0.6146 0.8694 0.1183  8 Ni 2.48-2.66, 3 Ta 2.54-2.63, 1 Y 2.70
Ni16 0.6146 0.8694 0.8817  8 Ni 2.48-2.66, 3 Ta 2.54-2.63, 1 Y 2.70
Ni17 0.6172 0.8632 0.3675  1 Ta 2.51, 8 Ni 2.56-2.78, 3 Y 2.63-2.70
Ni18 0.6172 0.8632 0.6325  1 Ta 2.51, 8 Ni 2.56-2.78, 3 Y 2.63-2.70
Ni19 0.7439 0.2561 0.2395  8 Ni 2.51-2.73, 2 Ta 2.52-2.55, 2 Y 2.68-2.74
Ni20 0.7439 0.2561 0.7605  8 Ni 2.51-2.73, 2 Ta 2.52-2.55, 2 Y 2.68-2.74
Ni21 0.8632 0.6172 0.3675  1 Ta 2.51, 8 Ni 2.56-2.78, 3 Y 2.63-2.70
Ni22 0.8632 0.6172 0.6325  1 Ta 2.51, 8 Ni 2.56-2.78, 3 Y 2.63-2.70
Ni23 0.8694 0.6146 0.1183  8 Ni 2.48-2.66, 3 Ta 2.54-2.63, 1 Y 2.70
Ni24 0.8694 0.6146 0.8817  8 Ni 2.48-2.66, 3 Ta 2.54-2.63, 1 Y 2.70

- V (Å³/atom) = 12.69
- symmetry = Cmmm
- ΔE_f (eV per atom) = -0.310


VASP calculation (PBEsol) on a geometry-optimized LiFeP structure.

abc: 6.0761 6.0761 3.6884
angles: 90.00 90.00 145.25
With the nearest neighbours (Å) after each atom.
Fractional positions:
Li1 0.0851 0.9149 0.7500  4 Fe 2.64-2.65, 4 P 2.68, 2 Li 2.70
Li2 0.9149 0.0851 0.2500  4 Fe 2.64-2.65, 4 P 2.68, 2 Li 2.70
Fe1 0.2496 0.7504 0.2500  4 P 2.17-2.20
Fe2 0.7504 0.2496 0.7500  4 P 2.17-2.20
P1 0.3532 0.6468 0.7500  4 Fe 2.17-2.20
P2 0.6468 0.3532 0.2500  4 Fe 2.17-2.20

- V (Å³/atom) = 12.94
- symmetry = Cmcm
- ΔE_f (eV per atom) = -0.615


VASP calculation (PBEsol) on a geometry-optimized SmAsO4 structure.

abc: 6.7271 6.7271 6.7271
angles: 135.73 135.73 64.39
With the nearest neighbours (Å) after each atom.
Fractional positions:
Sm1 0.3750 0.1250 0.2500  8 O 2.38-2.43
Sm2 0.6250 0.8750 0.7500  8 O 2.38-2.43
As1 0.1250 0.3750 0.7500  4 O 1.72
As2 0.8750 0.6250 0.2500  4 O 1.72
O1 0.0601 0.7039 0.8549  1 As 1.72
O2 0.2039 0.8490 0.6437  1 As 1.72
O3 0.2948 0.4399 0.1437  1 As 1.72
O4 0.3490 0.2052 0.6451  1 As 1.72
O5 0.6510 0.7948 0.3549  1 As 1.72
O6 0.7052 0.5601 0.8563  1 As 1.72
O7 0.7961 0.1510 0.3563  1 As 1.72
O8 0.9399 0.2961 0.1451  1 As 1.72

- V (Å³/atom) = 12.19
- E above lowest polymorph (eV/atom) = 0.0000
- uncorrected formation energy (kJ/mol of atoms) = -229.0
- symmetry = I4_1/a


VASP calculation (PBEsol) on a geometry-optimized Li2TeAs structure.

abc: 5.0931 5.0931 5.0931
angles: 131.67 127.80 73.88
With the nearest neighbours (Å) after each atom.
Fractional positions:
Li1 0.2438 0.2438 0.0000  4 As 2.88-3.06, 4 Te 2.95-2.99, 4 Li 3.06
Li2 0.7562 0.7562 0.0000  4 As 2.88-3.06, 4 Te 2.95-2.99, 4 Li 3.06
Te1 0.5000 0.0000 0.5000  8 Li 2.95-2.99, 4 As 3.06
As1 0.0000 0.5000 0.5000  8 Li 2.88-3.06, 4 Te 3.06

- V (Å³/atom) = 19.02
- E above lowest polymorph (eV/atom) = 0.0000
- uncorrected formation energy (kJ/mol of atoms) = -49.7
- symmetry = Immm


VASP calculation (PBEsol) on a geometry-optimized KAsPb structure.

abc: 4.2346 4.2346 6.2656
angles: 90.00 90.00 120.00
With the nearest neighbours (Å) after each atom.
Fractional positions:
K1 0.0000 0.0000 0.0000  3 As 3.21
As1 0.3333 0.6667 0.3324  3 Pb 2.80
Pb1 0.6667 0.3333 0.5518  3 As 2.80

- V (Å³/atom) = 32.43
- symmetry = P3m1
- ΔE_f (eV per atom) = -0.301


VASP calculation (PBEsol) on a geometry-optimized Cu3C structure.

abc: 2.6673 2.6673 6.6313
angles: 90.00 90.00 120.00
With the nearest neighbours (Å) after each atom.
Fractional positions:
Cu1 0.0000 0.0000 0.0000  12 Cu 2.54-2.67
Cu2 0.3333 0.6667 0.3051  3 C 2.01
Cu3 0.3333 0.6667 0.6949  3 C 2.01
C1 0.0000 0.0000 0.5000  6 Cu 2.01

- V (Å³/atom) = 10.21
- symmetry = P-6m2
- ΔE_f (eV per atom) = 0.750


VASP calculation (PBEsol) on a geometry-optimized MoPAu structure.

abc: 4.2151 4.2151 4.2151
angles: 60.00 60.00 60.00
With the nearest neighbours (Å) after each atom.
Fractional positions:
Mo1 0.0000 0.0000 0.0000  4 P 2.58, 4 Au 2.58
P1 0.2500 0.2500 0.2500  4 Mo 2.58
Au1 0.7500 0.7500 0.7500  4 Mo 2.58

- V (Å³/atom) = 17.65
- symmetry = F-43m
- ΔE_f (eV per atom) = 0.369


VASP calculation (PBEsol) on a geometry-optimized KInRhI2 structure.

abc: 6.1854 6.1854 4.8485
angles: 90.00 90.00 90.00
With the nearest neighbours (Å) after each atom.
Fractional positions:
K1 0.0000 0.0000 0.0000  2 Rh 2.42
In1 0.5000 0.5000 0.5000  8 I 3.93, 4 Rh 4.37
Rh1 0.0000 0.0000 0.5000  2 K 2.42
I1 0.0000 0.5000 0.0000  2 K 3.09
I2 0.5000 0.0000 0.0000  2 K 3.09

- V (Å³/atom) = 37.10
- uncorrected formation energy (kJ/mol of atoms) = 63.2
- symmetry = P4/mmm


Q: Which value of V does entry 8 give?
A: 19.02 Å³/atom


Q: Which formula does entry 10 have?
A: Cu3C


Q: Among the records above, which one has the lowest V?
A: MnIrC2


Q: Which formula does entry 12 have?
A: KInRhI2